Compound: Sr2CoSeO2
Source: Alexandria via LeMat-Bulk
Functional: GGA+U
Structure: relaxed

Values from the calculation:
SG ... P4/mmm, No. 123
Crystal system ... tetragonal
Electronic total energy ... -5.5404 eV/atom

Cell: 4.039 4.039 6.848 Å, 90.00 90.00 90.00°
Atoms (fractional coordinates):
Sr  0.000  0.000  0.240
Sr  0.000  0.000  0.760
Co  0.500  0.500  0.000
Se  0.500  0.500  0.500
O  0.000  0.500  0.000
O  0.500  0.000  0.000